GGA-PBE Tm4Sn3H2, relaxed; SG = C2/c, No. 15; N(E_F) = 8.6 states/eV/cell; electronic total energy = -4.678 eV per atom; mass density = 8.955 g cm⁻³
1.0
6.2911 0.4543 0.3252
0.9514 8.0657 -0.0311
0.9514 2.5694 7.6456
Tm Sn H
8 6 4
Cartesian
4.0866 8.1881 2.7612
0.9618 5.6100 0.9154
4.1073 2.9013 5.1784
7.2322 5.4794 7.0243
1.1484 2.8378 2.9712
3.9001 7.1352 6.0480
7.0456 8.2516 4.9685
4.2939 3.9542 1.8917
6.0938 1.0081 1.9345
5.2457 9.1603 7.7713
2.1002 10.0813 6.0052
2.9482 1.9291 0.1684
2.5242 5.4654 3.8407
5.6698 5.6240 4.0990
3.2596 2.3663 3.2413
1.7889 7.0313 6.5813
4.9344 8.7231 4.6984
6.4051 4.0580 1.3583

GGA-PBE Tm4SnH, relaxed; SG = C2/m, No. 12; N(E_F) = 12.6 states/eV/cell; electronic total energy = -4.513 eV per atom; mass density = 9.413 g cm⁻³
1.0
-2.9070 0.6467 4.6850
4.1960 -3.9326 3.1464
3.6921 7.7470 -2.0696
Tm Sn H
8 2 2
Cartesian
3.8839 0.4647 2.2301
2.2942 5.7132 0.6524
1.0759 -1.0084 0.8068
0.5800 0.7225 3.5295
1.0972 3.9963 3.5317
2.6869 -1.2522 5.1094
3.1201 -2.9243 2.3396
4.4011 3.7385 2.2323
3.3745 2.1671 5.0372
1.6066 2.2940 0.7246
2.2222 -0.7814 2.8885
2.7589 5.2424 2.8732

GGA-PBE Tm2SnH2, relaxed; SG = Fmmm, No. 69; N(E_F) = 1.1 states/eV/cell; electronic total energy = -4.629 eV per atom; mass density = 9.371 g cm⁻³
1.0
3.8856 0.4079 -0.1923
-0.4265 3.8836 -0.1923
-1.4976 -1.8580 5.4902
Tm Sn H
2 1 2
Cartesian
1.8016 2.2352 1.4504
0.1599 0.1984 3.6552
0.0000 0.0000 0.0000
-0.0981 2.0863 2.5528
2.0596 0.3472 2.5528

GGA-PBE TmSnH2, relaxed; SG = R-3m, No. 166; N(E_F) = 0.9 states/eV/cell; electronic total energy = -4.219 eV per atom; mass density = 8.025 g cm⁻³
1.0
-2.4597 -0.2348 2.5112
0.1696 -2.5769 2.3964
2.3017 2.3416 4.9447
H Tm Sn
2 1 1
Cartesian
0.4842 0.3974 2.9827
-0.4726 -0.8675 6.8697
0.0058 -0.2351 4.9262
0.0000 0.0000 0.0000

GGA-PBE Tm2SnH3, relaxed; SG = C2/m, No. 12; N(E_F) = 2.3 states/eV/cell; electronic total energy = -4.483 eV per atom; mass density = 8.639 g cm⁻³
1.0
-0.2864 -2.0233 2.9649
1.7047 -4.7671 -5.2751
6.1111 3.2571 2.8130
Tm Sn H
4 2 6
Cartesian
5.9451 -3.0707 -1.5211
1.5843 -0.4626 2.0240
2.9122 -3.4480 0.1151
4.6172 -0.0853 0.3878
6.8707 -2.0098 1.4789
0.6587 -1.5235 -0.9760
4.2318 -1.8435 -0.8492
4.8455 -4.1287 -0.1627
3.8670 -0.0651 2.5158
3.6624 -3.4681 -2.0129
2.6839 0.5955 0.6656
3.2976 -1.6897 1.3521

GGA-PBE Tm5Sn4H, relaxed; SG = I4, No. 79; N(E_F) = 6.6 states/eV/cell; electronic total energy = -4.546 eV per atom; mass density = 8.164 g cm⁻³
1.0
-1.5171 -0.7962 5.8450
-1.4204 -6.9201 1.8623
5.6387 -1.2974 4.4604
Tm Sn H
5 4 1
Cartesian
2.7354 -4.3960 9.6296
1.9210 -6.7186 5.9283
0.7813 -2.2945 6.2351
-0.0331 -4.6171 2.5337
-0.6709 -0.3521 2.5847
3.2312 -4.0748 6.6381
1.0773 -6.8486 8.8749
1.6203 -2.1669 3.3063
-0.5335 -4.9407 5.5431
-0.0985 -0.0517 0.3794